Density functional theory data (PBE) for a relaxed SrLaRe2Au crystal.

The structure belongs to space group P4/mmm (No. 123); the cell edges are 4.851, 4.851 and 5.393 Å and the angles 90.00°, 90.00° and 90.00°. Symmetry generates all atoms from Sr at (0.000, 0.000, 0.000), La at (0.000, 0.000, 0.500), Re at (0.000, 0.500, 0.000) and Au at (0.500, 0.500, 0.500).

For the formation enthalpy at 0 K, the calculation gives 2.60 eV/atom. For the uncorrected energy, the calculation gives -4.36 eV/atom.